VASP calculation (PBE-GGA) on a relaxed structure of CrRuSe4.

Cell and atoms, written as extended XYZ:
```
6
Lattice="0.000 3.957 3.957 3.957 0.000 3.957 3.957 3.957 0.000" Properties=species:S:1:pos:R:3 pbc="T T T"
Cr 5.935 5.935 5.935
Ru 0.000 0.000 0.000
Se 2.966 4.948 4.948
Se 4.948 4.948 2.966
Se 4.948 2.966 4.948
Se 2.966 2.966 2.966
```

N(E_F): 7.117 states/eV/cell
E: -4.37 eV/atom
Formation energy (no corrections): 1.106 eV/atom